Below is a geometry-optimized YCo4P structure, with properties calculated at the GGA-PBEsol level.

Cell lengths 4.816, 4.816, 4.816 Å; angles 60.00, 60.00, 60.00 degrees
Sites, in units of the cell vectors:
Co (0.624, 0.624, 0.127)
Co (0.127, 0.624, 0.624)
Co (0.624, 0.127, 0.624)
Co (0.624, 0.624, 0.624)
P (0.250, 0.250, 0.250)
Y (0.000, 0.000, 0.000)

Calculated values
Its formation energy from the elements is -0.045 eV per atom. Its total magnetization is 6.06 μB/cell.

Below is a geometry-optimized MgCo3Te structure, with properties calculated at the GGA-PBEsol level.

Cell lengths 4.333, 4.333, 4.333 Å; angles 90.00, 90.00, 90.00 degrees
Sites, in units of the cell vectors:
Mg (0.000, 0.000, 0.000)
Te (0.500, 0.500, 0.500)
Co (0.000, 0.500, 0.000)
Co (0.000, 0.000, 0.500)
Co (0.500, 0.000, 0.000)

Calculated values
The calculation puts the uncorrected formation energy at 1.353 eV/atom. Its total magnetization is 3.83 μB/cell.